This record from the Alexandria database describes Zn3Hg at its PBEsol-relaxed geometry. The functional is SCAN.

Structure (CIF):
```
data_Zn3Hg
_chemical_formula_sum 'Zn3 Hg1'
_cell_length_a 3.524
_cell_length_b 3.524
_cell_length_c 5.309
_cell_angle_alpha 90.00
_cell_angle_beta 90.00
_cell_angle_gamma 90.00
_symmetry_space_group_name_H-M 'P 4/m m m'
_symmetry_Int_Tables_number 123
_symmetry_space_group_name_Hall '-P 4 2'
loop_
_atom_site_label
_atom_site_type_symbol
_atom_site_fract_x
_atom_site_fract_y
_atom_site_fract_z
Zn1 Zn 0.000 0.000 0.000
Zn2 Zn 0.500 0.500 0.238
Hg1 Hg 0.000 0.000 0.500
```

Properties
* E_form: 0.087 eV per atom
* E: -27.091 eV/atom

This record from the Alexandria database describes ZnHg2 at its PBEsol-relaxed geometry. The functional is SCAN.

Structure (CIF):
```
data_ZnHg2
_chemical_formula_sum 'Zn3 Hg6'
_cell_length_a 7.6560
_cell_length_b 7.6560
_cell_length_c 3.5811
_cell_angle_alpha 90.00
_cell_angle_beta 90.00
_cell_angle_gamma 120.00
_symmetry_space_group_name_H-M 'P -6 2 m'
_symmetry_Int_Tables_number 189
_symmetry_space_group_name_Hall 'P -6 -2'
loop_
_atom_site_label
_atom_site_type_symbol
_atom_site_fract_x
_atom_site_fract_y
_atom_site_fract_z
Zn1 Zn 0.0000 0.0000 0.0000
Zn2 Zn 0.3333 0.6667 0.5000
Hg1 Hg 0.0000 0.2806 0.5000
Hg2 Hg 0.0000 0.6132 0.0000
```

Properties
* E_form: 0.113 eV per atom
* E: -49.836 eV/atom

This record from the Alexandria database describes Zn3Hg at its PBEsol-relaxed geometry. The functional is SCAN.

Structure (CIF):
```
data_Zn3Hg
_chemical_formula_sum 'Zn6 Hg2'
_cell_length_a 5.255
_cell_length_b 7.315
_cell_length_c 3.467
_cell_angle_alpha 90.00
_cell_angle_beta 90.00
_cell_angle_gamma 90.00
_symmetry_space_group_name_H-M 'C m m m'
_symmetry_Int_Tables_number 65
_symmetry_space_group_name_Hall '-C 2 2'
loop_
_atom_site_label
_atom_site_type_symbol
_atom_site_fract_x
_atom_site_fract_y
_atom_site_fract_z
Zn1 Zn 0.000 0.000 0.000
Zn2 Zn 0.250 0.250 0.500
Hg1 Hg 0.000 0.500 0.000
```

Properties
* E_form: 0.099 eV per atom
* E: -27.079 eV/atom

This record from the Alexandria database describes ZnHg2 at its PBEsol-relaxed geometry. The functional is SCAN.

Structure (CIF):
```
data_ZnHg2
_chemical_formula_sum 'Zn1 Hg2'
_cell_length_a 4.535
_cell_length_b 4.535
_cell_length_c 3.161
_cell_angle_alpha 90.00
_cell_angle_beta 90.00
_cell_angle_gamma 90.00
_symmetry_space_group_name_H-M 'P 4/m m m'
_symmetry_Int_Tables_number 123
_symmetry_space_group_name_Hall '-P 4 2'
loop_
_atom_site_label
_atom_site_type_symbol
_atom_site_fract_x
_atom_site_fract_y
_atom_site_fract_z
Zn1 Zn 0.000 0.000 0.000
Hg1 Hg 0.000 0.500 0.500
```

Properties
* E_form: 0.076 eV per atom
* E: -49.873 eV/atom